Entry from Alexandria: an optimized crystal structure of Tm12Cu6Au (PBE-GGA).

The energy of formation is -0.247 eV/atom. The calculation puts the density of states at the Fermi level at 32.17 states/eV/cell. For the total moment, the calculation gives 0.00 μB per cell. For the total DFT energy (no corrections), the calculation gives -4.537 eV per atom.

a = 9.6064 Å, b = 9.6064 Å, c = 9.6064 Å
α = 90.00°, β = 90.00°, γ = 90.00°
Closest atoms and distances in Å follow each position.
Space group Im-3 (No. 204)
Unique sites:
Tm 0.0000 0.1874 0.2907 x24  3 Cu 2.69-2.96
Cu 0.0000 0.3734 0.5000 x12  1 Cu 2.43, 2 Tm 2.69
Au 0.0000 0.0000 0.0000 x2  12 Tm 3.32

=====

Entry from Alexandria: an optimized crystal structure of Tm2Cu3Au (PBE-GGA).

The energy of formation is -0.417 eV/atom. The calculation puts the density of states at the Fermi level at 28.16 states/eV/cell. For the total moment, the calculation gives 0.00 μB per cell. For the total DFT energy (no corrections), the calculation gives -4.501 eV per atom.

a = 6.9334 Å, b = 8.6354 Å, c = 15.0727 Å
α = 90.00°, β = 90.00°, γ = 90.00°
Closest atoms and distances in Å follow each position.
Space group Fmmm (No. 69)
Unique sites:
Tm 0.2482 0.0000 0.0000 x8  10 Cu 2.96-3.08, 2 Au 3.06
Tm 0.2500 0.2500 0.2500 x8  4 Au 3.04, 8 Cu 3.07-3.09
Cu 0.0000 0.0000 0.1613 x8  2 Cu 2.42, 1 Au 2.59
Cu 0.0000 0.2418 0.0804 x16  2 Cu 2.42, 1 Au 2.58
Au 0.0000 0.0000 0.3331 x8  3 Cu 2.58-2.59